1.
Entry from Alexandria via LeMat-Bulk: a relaxed structure of ZrBiRh (PBE-GGA).

Geometry as POSCAR:
```
ZrBiRh
1.0
-1.372 2.698 -0.656
-2.230 -1.506 -1.533
-2.356 -1.114 7.651
Rh Bi Zr
1 1 1
direct
0.963 0.963 0.925 Rh
0.773 0.773 0.546 Bi
0.114 0.114 0.228 Zr
```

Results
Space group   I4mm, No. 107
E_form   0.389 eV per atom

2.
Entry from Alexandria via LeMat-Bulk: a relaxed structure of ZnGa3 (PBE-GGA).

Geometry as POSCAR:
```
ZnGa3
1.0
-0.832 0.471 -2.679
-3.535 -3.431 0.495
-1.115 5.118 2.756
Zn Ga
1 3
direct
0.000 0.921 0.000 Zn
0.262 0.675 0.524 Ga
0.500 0.420 0.000 Ga
0.738 0.151 0.476 Ga
```

Results
Space group   Imm2, No. 44
E_form   0.046 eV per atom

3.
Entry from Alexandria via LeMat-Bulk: a relaxed structure of AlPIr2 (PBE-GGA).

Geometry as POSCAR:
```
AlPIr2
1.0
-2.005 7.674 0.956
-2.863 6.566 3.536
-0.062 7.348 3.133
P Ir Al
1 2 1
direct
0.503 0.503 0.503 P
0.006 0.006 0.006 Ir
0.240 0.240 0.240 Ir
0.751 0.751 0.751 Al
```

Results
Space group   R3m, No. 160
E_form   -0.183 eV per atom
Distance to the lowest polymorph of the same formula   242 meV per atom

4.
Entry from Alexandria via LeMat-Bulk: a relaxed structure of CaS6Br2 (PBE-GGA).

Geometry as POSCAR:
```
CaS6Br2
1.0
-2.125 -3.570 1.077
5.195 -1.161 6.296
-6.404 4.600 2.462
Ca S Br
1 6 2
direct
0.000 0.000 0.000 Ca
0.911 0.521 0.277 S
0.089 0.479 0.723 S
0.862 0.689 0.688 S
0.912 0.276 0.521 S
0.088 0.724 0.479 S
0.138 0.311 0.312 S
0.500 0.858 0.141 Br
0.500 0.142 0.859 Br
```

Results
Space group   P-1, No. 2
Formation energy without anion corrections   -0.59 eV per atom

| no. | size of the total moment (μB per atom) | DOS(E_F) (states/eV/cell) |
| --- | --- | --- |
| 1 | 0.02 | 3.80 |
| 2 | 0.00 | 1.43 |
| 3 | 0.00 | 3.79 |
| 4 | 0.00 | 0.00 |